Entry from Alexandria via LeMat-Bulk: crystalline Na2Sr2ZnGe4 at its relaxed geometry (PBE).

```
Na2Sr2ZnGe4
1.0
6.7349 -0.3576 -0.5643
-3.0328 6.0240 0.5643
-3.0328 -2.0611 5.6885
Na Sr Zn Ge
2 2 1 4
Direct
0.0000 0.7118 0.7118 Na
0.0000 0.2882 0.2882 Na
0.5000 0.7500 0.2500 Sr
0.5000 0.2500 0.7500 Sr
0.0000 0.0000 0.0000 Zn
0.0000 0.7296 0.2704 Ge
0.4592 0.7296 0.7296 Ge
0.0000 0.2704 0.7296 Ge
0.5408 0.2704 0.2704 Ge
```

Properties
Raw total energy in eV per atom: -3.04
M_tot in μB per formula unit: 0.0
ΔH_f (0 K) in eV/atom: -0.18

=====

Entry from Alexandria via LeMat-Bulk: crystalline NaTa2Ge at its relaxed geometry (PBE).

```
NaTa2Ge
1.0
-1.5738 -3.5196 -6.6187
6.7032 2.3669 -2.8525
3.7552 -2.8392 -3.8154
Na Ge Ta
2 2 4
Direct
0.5000 0.5000 0.0000 Na
0.2500 0.7500 0.5000 Na
0.0000 0.0000 0.0000 Ge
0.7500 0.2500 0.5000 Ge
0.6642 0.1250 0.2500 Ta
0.0858 0.6250 0.2500 Ta
0.3750 0.3358 0.7500 Ta
0.8750 0.9142 0.7500 Ta
```

Properties
Raw total energy in eV per atom: -6.56
M_tot in μB per formula unit: 0.0
ΔH_f (0 K) in eV/atom: 0.85

=====

Entry from Alexandria via LeMat-Bulk: crystalline NaTaGe3 at its relaxed geometry (PBE).

```
NaTaGe3
1.0
4.7740 0.0000 0.0000
0.0000 4.7740 0.0000
0.0000 0.0000 4.7740
Na Ge Ta
1 3 1
Direct
0.0000 0.0000 0.0000 Na
0.0000 0.5000 0.0000 Ge
0.0000 0.0000 0.5000 Ge
0.5000 0.0000 0.0000 Ge
0.5000 0.5000 0.5000 Ta
```

Properties
Raw total energy in eV per atom: -3.87
Energy above the most stable polymorph in this dataset in eV/atom: 1.391
M_tot in μB per formula unit: 0.0
ΔH_f (0 K) in eV/atom: 1.53

=====

Entry from Alexandria via LeMat-Bulk: crystalline NaTaGe at its relaxed geometry (PBE).

```
NaTaGe
1.0
4.2485 0.0000 0.0000
2.1242 3.6793 0.0000
2.1242 1.2264 8.4816
Ta Na Ge
2 2 2
Direct
0.2989 0.2989 0.1034 Ta
0.7011 0.7011 0.8966 Ta
0.1309 0.1309 0.6073 Na
0.8691 0.8691 0.3927 Na
0.4060 0.4060 0.7819 Ge
0.5940 0.5940 0.2181 Ge
```

Properties
Raw total energy in eV per atom: -5.71
M_tot in μB per formula unit: 0.0
ΔH_f (0 K) in eV/atom: 0.22

=====

Entry from Alexandria via LeMat-Bulk: crystalline NaTa2Ge2 at its relaxed geometry (PBE).

```
NaTa2Ge2
1.0
-7.9116 1.4013 0.6926
-1.3684 -7.9361 0.4257
0.2709 0.1076 2.8772
Na Ge Ta
2 4 4
Direct
0.0000 0.0000 0.0000 Na
0.5000 0.5000 0.0000 Na
0.3292 0.8292 0.0000 Ge
0.8292 0.6708 0.0000 Ge
0.6708 0.1708 0.0000 Ge
0.1708 0.3292 0.0000 Ge
0.1207 0.6207 0.5000 Ta
0.6207 0.8793 0.5000 Ta
0.8793 0.3793 0.5000 Ta
0.3793 0.1207 0.5000 Ta
```

Properties
Raw total energy in eV per atom: -6.81
M_tot in μB per formula unit: 0.0
ΔH_f (0 K) in eV/atom: 0.04

=====

Entry from Alexandria via LeMat-Bulk: crystalline Na3TaGe at its relaxed geometry (PBE).

```
Na3TaGe
1.0
5.4092 0.0000 0.0000
0.0000 5.4092 0.0000
0.0000 0.0000 5.4092
Na Ge Ta
3 1 1
Direct
0.0000 0.5000 0.0000 Na
0.0000 0.0000 0.5000 Na
0.5000 0.0000 0.0000 Na
0.0000 0.0000 0.0000 Ge
0.5000 0.5000 0.5000 Ta
```

Properties
Raw total energy in eV per atom: -2.74
Energy above the most stable polymorph in this dataset in eV/atom: 0.000
M_tot in μB per formula unit: 3.0
ΔH_f (0 K) in eV/atom: 1.35

=====

Entry from Alexandria via LeMat-Bulk: crystalline NaTaGe3 at its relaxed geometry (PBE).

```
NaTaGe3
1.0
-3.1981 -1.2018 -3.7330
0.5368 -4.9057 1.1195
-3.8848 0.3115 3.2278
Na Ge Ta
1 3 1
Direct
0.5000 0.5000 0.5000 Na
0.0000 0.5000 0.0000 Ge
0.0000 0.0000 0.5000 Ge
0.5000 0.0000 0.0000 Ge
0.0000 0.0000 0.0000 Ta
```

Properties
Raw total energy in eV per atom: -5.26
Energy above the most stable polymorph in this dataset in eV/atom: 0.000
M_tot in μB per formula unit: 0.0
ΔH_f (0 K) in eV/atom: 0.14

=====

Entry from Alexandria via LeMat-Bulk: crystalline Na3TaGe at its relaxed geometry (PBE).

```
Na3TaGe
1.0
-5.3046 -0.5727 -2.1985
2.1653 -2.9649 -4.4521
-0.6877 -4.9175 2.9404
Na Ge Ta
3 1 1
Direct
0.0000 0.5000 0.0000 Na
0.0000 0.0000 0.5000 Na
0.5000 0.0000 0.0000 Na
0.5000 0.5000 0.5000 Ge
0.0000 0.0000 0.0000 Ta
```

Properties
Raw total energy in eV per atom: -2.38
Energy above the most stable polymorph in this dataset in eV/atom: 0.359
M_tot in μB per formula unit: 3.3
ΔH_f (0 K) in eV/atom: 1.71

=====

Entry from Alexandria via LeMat-Bulk: crystalline NaTaGe2Te at its relaxed geometry (PBE).

```
NaTaGe2Te
1.0
-4.0533 -0.5929 -2.5098
1.6973 -4.7977 -1.6078
-2.0776 -2.0192 3.8323
Na Ge Te Ta
1 2 1 1
Direct
0.0000 0.0000 0.0000 Na
0.0000 0.0000 0.5000 Ge
0.5000 0.0000 0.0000 Ge
0.5000 0.5000 0.5000 Te
0.0000 0.5000 0.0000 Ta
```

Properties
Raw total energy in eV per atom: -3.59
M_tot in μB per formula unit: 0.0
E_form (uncorrected) in kJ/mol of formula units: 732.0

=====

Entry from Alexandria via LeMat-Bulk: crystalline NaZrTaGe2 at its relaxed geometry (PBE).

```
NaZrTaGe2
1.0
-1.7562 2.9820 3.4867
0.3812 -3.7074 3.3627
4.5728 1.4413 1.0706
Na Ge Zr Ta
1 2 1 1
Direct
0.0000 0.5000 0.0000 Na
0.0000 0.0000 0.5000 Ge
0.5000 0.0000 0.0000 Ge
0.5000 0.5000 0.5000 Zr
0.0000 0.0000 0.0000 Ta
```

Properties
Raw total energy in eV per atom: -5.21
M_tot in μB per formula unit: 0.0
ΔH_f (0 K) in eV/atom: 0.98

=====

Entry from Alexandria via LeMat-Bulk: crystalline NaTbGe4 at its relaxed geometry (PBE).

```
NaTbGe4
1.0
-0.4809 3.6822 4.2160
-4.4648 3.4000 0.2647
-3.8905 -0.7768 3.9781
Na Ge Tb
1 4 1
Direct
0.0000 0.0000 0.0000 Na
0.6247 0.6247 0.1260 Ge
0.6247 0.1260 0.6247 Ge
0.6247 0.6247 0.6247 Ge
0.1260 0.6247 0.6247 Ge
0.2500 0.2500 0.2500 Tb
```

Properties
Raw total energy in eV per atom: -4.33
M_tot in μB per formula unit: 0.0
ΔH_f (0 K) in eV/atom: -0.26

=====

Entry from Alexandria via LeMat-Bulk: crystalline NaTbGe at its relaxed geometry (PBE).

```
NaTbGe
1.0
-1.6542 4.1501 -2.1836
-3.8116 -0.2166 -3.1863
-7.0363 2.4731 4.3686
Ge Na Tb
2 2 2
Direct
0.2596 0.2596 0.2211 Ge
0.7404 0.7404 0.7789 Ge
0.1328 0.1328 0.6016 Na
0.8672 0.8672 0.3984 Na
0.3803 0.3803 0.8592 Tb
0.6197 0.6197 0.1408 Tb
```

Properties
Raw total energy in eV per atom: -3.88
M_tot in μB per formula unit: 0.0
ΔH_f (0 K) in eV/atom: -0.36

=====

Entry from Alexandria via LeMat-Bulk: crystalline Na2TcGe at its relaxed geometry (PBE).

```
Na2TcGe
1.0
8.1852 0.0000 0.0000
0.0000 8.1852 0.0000
4.0926 4.0926 2.5194
Na Ge Tc
4 2 2
Direct
0.6114 0.1250 0.2500 Na
0.1386 0.6250 0.2500 Na
0.3750 0.3886 0.7500 Na
0.8750 0.8614 0.7500 Na
0.5000 0.5000 0.0000 Ge
0.2500 0.7500 0.5000 Ge
0.0000 0.0000 0.0000 Tc
0.7500 0.2500 0.5000 Tc
```

Properties
Raw total energy in eV per atom: -3.64
M_tot in μB per formula unit: 1.3
ΔH_f (0 K) in eV/atom: 0.76

=====

Entry from Alexandria via LeMat-Bulk: crystalline Na2Tc2Ge at its relaxed geometry (PBE).

```
Na2Tc2Ge
1.0
-0.1734 6.2732 -0.2067
-5.5944 -0.2482 -2.8402
-2.3727 0.0881 4.6660
Na Ge Tc
4 2 4
Direct
0.1758 0.6758 0.5000 Na
0.6758 0.8242 0.5000 Na
0.8242 0.3242 0.5000 Na
0.3242 0.1758 0.5000 Na
0.0000 0.0000 0.0000 Ge
0.5000 0.5000 0.0000 Ge
0.3737 0.8737 0.0000 Tc
0.8737 0.6263 0.0000 Tc
0.6263 0.1263 0.0000 Tc
0.1263 0.3737 0.0000 Tc
```

Properties
Raw total energy in eV per atom: -5.20
Energy above the most stable polymorph in this dataset in eV/atom: 0.000
M_tot in μB per formula unit: 0.0
ΔH_f (0 K) in eV/atom: 0.39

=====

Entry from Alexandria via LeMat-Bulk: crystalline Na2Tc2Ge at its relaxed geometry (PBE).

```
Na2Tc2Ge
1.0
-2.0776 -3.6168 4.0069
4.8683 -3.1102 -0.2831
2.8323 -1.3477 4.4265
Na Ge Tc
2 1 2
Direct
0.7500 0.2500 0.5000 Na
0.2500 0.7500 0.5000 Na
0.0000 0.0000 0.0000 Ge
0.3496 0.3496 0.3008 Tc
0.6504 0.6504 0.6992 Tc
```

Properties
Raw total energy in eV per atom: -4.43
Energy above the most stable polymorph in this dataset in eV/atom: 0.769
M_tot in μB per formula unit: 2.8
ΔH_f (0 K) in eV/atom: 1.16

=====

Entry from Alexandria via LeMat-Bulk: crystalline NaTc4Ge2 at its relaxed geometry (PBE).

```
NaTc4Ge2
1.0
-3.1770 2.5674 0.2894
-2.3436 -2.6647 -2.0873
-0.8195 -1.8402 7.3297
Na Tc Ge
1 4 2
Direct
0.0000 0.0000 0.0000 Na
0.5000 0.8068 0.6136 Tc
0.0000 0.6999 0.3997 Tc
0.5000 0.1932 0.3864 Tc
0.0000 0.3001 0.6003 Tc
0.5000 0.5877 0.1753 Ge
0.5000 0.4123 0.8247 Ge
```

Properties
Raw total energy in eV per atom: -7.43
M_tot in μB per formula unit: 0.0
ΔH_f (0 K) in eV/atom: 0.00

=====

Entry from Alexandria via LeMat-Bulk: crystalline NaTc2Ge at its relaxed geometry (PBE).

```
NaTc2Ge
1.0
-3.9532 0.0575 0.4631
0.0005 -3.9498 0.4941
-0.8667 -0.7794 9.8058
Na Ge Tc
2 2 4
Direct
0.5000 0.5000 0.0000 Na
0.2500 0.7500 0.5000 Na
0.0000 0.0000 0.0000 Ge
0.7500 0.2500 0.5000 Ge
0.7160 0.1250 0.2500 Tc
0.0340 0.6250 0.2500 Tc
0.3750 0.2840 0.7500 Tc
0.8750 0.9660 0.7500 Tc
```

Properties
Raw total energy in eV per atom: -5.97
M_tot in μB per formula unit: 0.0
ΔH_f (0 K) in eV/atom: 0.70

=====

Entry from Alexandria via LeMat-Bulk: crystalline NaV2TcGe at its relaxed geometry (PBE).

```
NaV2TcGe
1.0
4.7606 0.0000 0.0000
0.0000 4.8307 0.0000
0.0000 0.0000 4.7606
Na Ge Tc V
1 1 1 2
Direct
0.5000 0.5000 0.5000 Na
0.0000 0.5000 0.0000 Ge
0.0000 0.0000 0.0000 Tc
0.0000 0.0000 0.5000 V
0.5000 0.0000 0.0000 V
```

Properties
Raw total energy in eV per atom: -6.19
M_tot in μB per formula unit: 4.5
ΔH_f (0 K) in eV/atom: 0.72

=====

Entry from Alexandria via LeMat-Bulk: crystalline NaGe3Te4 at its relaxed geometry (PBE).

```
NaGe3Te4
1.0
-3.2354 -1.7693 -1.8250
0.9186 -5.9961 4.1852
-4.2943 0.9693 6.6721
Na Ge Te
1 3 4
Direct
0.5000 0.4960 0.0121 Na
0.5000 0.9984 0.5119 Ge
0.0000 0.0102 0.9420 Ge
0.9999 0.5051 0.4651 Ge
0.9999 0.7636 0.7447 Te
0.5000 0.7477 0.2819 Te
0.0000 0.2346 0.2880 Te
0.4999 0.2453 0.7541 Te
```

Properties
Raw total energy in eV per atom: -3.69
Energy above the most stable polymorph in this dataset in eV/atom: 0.000
M_tot in μB per formula unit: 0.0
E_form (uncorrected) in kJ/mol of formula units: -169.0

=====

Entry from Alexandria via LeMat-Bulk: crystalline Na5Ge2Te5 at its relaxed geometry (PBE).

```
Na5Ge2Te5
1.0
-2.7369 -2.8998 -1.9371
3.8762 -3.8566 5.3693
-9.8502 5.6915 5.3968
Na Ge Te
5 2 5
Direct
0.5000 0.0000 0.5000 Na
0.6592 0.3184 0.0458 Na
0.7408 0.4815 0.3565 Na
0.2592 0.5185 0.6435 Na
0.3408 0.6816 0.9542 Na
0.0459 0.0918 0.7957 Ge
0.9541 0.9082 0.2043 Ge
0.1057 0.2113 0.3965 Te
0.6723 0.3445 0.7931 Te
0.3277 0.6555 0.2069 Te
0.8943 0.7887 0.6035 Te
0.0000 0.0000 0.0000 Te
```

Properties
Raw total energy in eV per atom: -3.19
M_tot in μB per formula unit: 0.0
E_form (uncorrected) in kJ/mol of formula units: -648.5